Entry 1:
A relaxed structure of BaSr2Pd. Source: the Alexandria database, functional PBE-GGA.

Properties
Energy of formation (kJ/mol of formula units): -108
Density of states at the Fermi level (states/eV/cell): 2.1
E above lowest polymorph (meV per atom): 74

Unit cell a=3.9299 b=3.9299 c=10.5857 alpha=90.00 beta=90.00 gamma=90.00
Last column: nearest neighbours and their distance in Å.
Sites, in units of the cell vectors:
Ba 0.0000 0.0000 0.0000  4 Ba 3.93
Sr 0.5000 0.5000 0.3330  4 Pd 3.29, 1 Sr 3.54
Sr 0.5000 0.5000 0.6670  4 Pd 3.29, 1 Sr 3.54
Pd 0.0000 0.0000 0.5000  8 Sr 3.29

***

Entry 2:
A relaxed structure of BaSrPd4. Source: the Alexandria database, functional PBE-GGA.

Properties
Energy of formation (kJ/mol of formula units): -339
Density of states at the Fermi level (states/eV/cell): 2.3

Unit cell a=5.6784 b=5.6784 c=5.6784 alpha=60.00 beta=60.00 gamma=60.00
Last column: nearest neighbours and their distance in Å.
Sites, in units of the cell vectors:
Ba 0.0000 0.0000 0.0000  12 Pd 3.33, 4 Sr 3.48
Sr 0.7500 0.7500 0.7500  12 Pd 3.33, 4 Ba 3.48
Pd 0.3753 0.3753 0.3753  6 Pd 2.83-2.85
Pd 0.3753 0.3753 0.8741  6 Pd 2.83-2.85
Pd 0.3753 0.8741 0.3753  6 Pd 2.83-2.85
Pd 0.8741 0.3753 0.3753  6 Pd 2.83-2.85

***

Entry 3:
A relaxed structure of BaSrPd2. Source: the Alexandria database, functional PBE-GGA.

Properties
Energy of formation (kJ/mol of formula units): -190
Density of states at the Fermi level (states/eV/cell): 2.4
E above lowest polymorph (meV per atom): 71

Unit cell a=3.8428 b=3.8428 c=7.6048 alpha=90.00 beta=90.00 gamma=90.00
Last column: nearest neighbours and their distance in Å.
Sites, in units of the cell vectors:
Ba 0.0000 0.0000 0.0000  8 Pd 3.43, 2 Sr 3.80, 4 Ba 3.84
Sr 0.0000 0.0000 0.5000  8 Pd 3.21
Pd 0.5000 0.5000 0.2759  4 Sr 3.21, 1 Pd 3.41, 4 Ba 3.43
Pd 0.5000 0.5000 0.7241  4 Sr 3.21, 1 Pd 3.41, 4 Ba 3.43

***

Entry 4:
A relaxed structure of Ba2SrPd. Source: the Alexandria database, functional PBE-GGA.

Properties
Energy of formation (kJ/mol of formula units): -77
Density of states at the Fermi level (states/eV/cell): 3.0
E above lowest polymorph (meV per atom): 194

Unit cell a=12.4690 b=12.4690 c=12.4690 alpha=20.58 beta=20.58 gamma=20.58
Last column: nearest neighbours and their distance in Å.
Sites, in units of the cell vectors:
Ba 0.1167 0.1167 0.1167  3 Pd 3.16
Ba 0.8833 0.8833 0.8833  3 Pd 3.16
Sr 0.0000 0.0000 0.0000  2 Ba 4.27, 6 Sr 4.45
Pd 0.5000 0.5000 0.5000  6 Ba 3.16

***

Entry 5:
A relaxed structure of Ba2SrPd9. Source: the Alexandria database, functional PBE-GGA.

Properties
Energy of formation (kJ/mol of formula units): -538
Density of states at the Fermi level (states/eV/cell): 11.7

Unit cell a=9.7577 b=9.7577 c=9.7577 alpha=33.28 beta=33.28 gamma=33.28
Last column: nearest neighbours and their distance in Å.
Sites, in units of the cell vectors:
Ba 0.1393 0.1393 0.1393  12 Pd 3.23-3.51, 3 Ba 3.56
Ba 0.8607 0.8607 0.8607  12 Pd 3.23-3.51, 3 Ba 3.56
Sr 0.0000 0.0000 0.0000  18 Pd 3.23-3.58
Pd 0.0808 0.5810 0.5810  7 Pd 2.74-2.87
Pd 0.3326 0.3326 0.3326  6 Pd 2.74-2.78
Pd 0.4190 0.4190 0.9192  7 Pd 2.74-2.87
Pd 0.4190 0.9192 0.4190  7 Pd 2.74-2.87
Pd 0.5000 0.5000 0.5000  6 Pd 2.87
Pd 0.5810 0.0808 0.5810  7 Pd 2.74-2.87
Pd 0.5810 0.5810 0.0808  7 Pd 2.74-2.87
Pd 0.6674 0.6674 0.6674  6 Pd 2.74-2.78
Pd 0.9192 0.4190 0.4190  7 Pd 2.74-2.87

***

Entry 6:
A relaxed structure of Ba3Sr3Pd2. Source: the Alexandria database, functional PBE-GGA.

Properties
Energy of formation (kJ/mol of formula units): -202
Density of states at the Fermi level (states/eV/cell): 30.8

Unit cell a=11.7809 b=11.7809 c=11.7809 alpha=89.48 beta=89.48 gamma=89.48
Last column: nearest neighbours and their distance in Å.
Sites, in units of the cell vectors:
Ba 0.0036 0.3176 0.1715  2 Pd 3.18-3.19
Ba 0.1715 0.0036 0.3176  2 Pd 3.18-3.19
Ba 0.1819 0.6766 0.5093  2 Pd 3.17-3.18
Ba 0.3176 0.1715 0.0036  2 Pd 3.18-3.19
Ba 0.3234 0.4907 0.8181  2 Pd 3.17-3.18
Ba 0.4907 0.8181 0.3234  2 Pd 3.17-3.18
Ba 0.5093 0.1819 0.6766  2 Pd 3.17-3.18
Ba 0.6766 0.5093 0.1819  2 Pd 3.17-3.18
Ba 0.6824 0.8285 0.9964  2 Pd 3.18-3.19
Ba 0.8181 0.3234 0.4907  2 Pd 3.17-3.18
Ba 0.8285 0.9964 0.6824  2 Pd 3.18-3.19
Ba 0.9964 0.6824 0.8285  2 Pd 3.18-3.19
Sr 0.0071 0.2963 0.8025  2 Pd 3.05-3.06
Sr 0.1975 0.9929 0.7037  2 Pd 3.05-3.06
Sr 0.2051 0.3064 0.5026  2 Pd 3.06
Sr 0.2963 0.8025 0.0071  2 Pd 3.05-3.06
Sr 0.3064 0.5026 0.2051  2 Pd 3.06
Sr 0.4974 0.7949 0.6936  2 Pd 3.06
Sr 0.5026 0.2051 0.3064  2 Pd 3.06
Sr 0.6936 0.4974 0.7949  2 Pd 3.06
Sr 0.7037 0.1975 0.9929  2 Pd 3.05-3.06
Sr 0.7949 0.6936 0.4974  2 Pd 3.06
Sr 0.8025 0.0071 0.2963  2 Pd 3.05-3.06
Sr 0.9929 0.7037 0.1975  2 Pd 3.05-3.06
Pd 0.2401 0.7490 0.2556  3 Sr 3.05-3.06, 3 Ba 3.17-3.19
Pd 0.2510 0.7444 0.7599  3 Sr 3.05-3.06, 3 Ba 3.17-3.19
Pd 0.2529 0.2529 0.2529  3 Sr 3.06, 3 Ba 3.18
Pd 0.2556 0.2401 0.7490  3 Sr 3.05-3.06, 3 Ba 3.17-3.19
Pd 0.7444 0.7599 0.2510  3 Sr 3.05-3.06, 3 Ba 3.17-3.19
Pd 0.7471 0.7471 0.7471  3 Sr 3.06, 3 Ba 3.18
Pd 0.7490 0.2556 0.2401  3 Sr 3.05-3.06, 3 Ba 3.17-3.19
Pd 0.7599 0.2510 0.7444  3 Sr 3.05-3.06, 3 Ba 3.17-3.19

***

Entry 7:
A relaxed structure of Ba4SrPd2. Source: the Alexandria database, functional PBE-GGA.

Properties
Energy of formation (kJ/mol of formula units): -216
Density of states at the Fermi level (states/eV/cell): 9.4

Unit cell a=11.2569 b=11.2569 c=11.2569 alpha=133.95 beta=62.06 gamma=140.76
Last column: nearest neighbours and their distance in Å.
Sites, in units of the cell vectors:
Ba 0.0243 0.2798 0.2444  2 Pd 3.15
Ba 0.0354 0.7798 0.7556  2 Pd 3.15
Ba 0.1900 0.0041 0.1941  2 Pd 3.15-3.16
Ba 0.1900 0.4959 0.6859  2 Pd 3.15-3.16
Ba 0.4241 0.7880 0.1361  4 Pd 3.23-3.44
Ba 0.6519 0.2880 0.8639  4 Pd 3.23-3.44
Ba 0.8100 0.5041 0.3141  2 Pd 3.15-3.16
Ba 0.8100 0.9959 0.8059  2 Pd 3.15-3.16
Sr 0.4469 0.2939 0.6530  2 Pd 3.22
Sr 0.6408 0.7939 0.3470  2 Pd 3.22
Pd 0.0172 0.5100 0.0072  6 Ba 3.15-3.26
Pd 0.5029 0.0100 0.9928  6 Ba 3.15-3.26
Pd 0.7325 0.2325 0.5000  4 Ba 3.15-3.44, 2 Sr 3.22
Pd 0.7325 0.7325 0.0000  4 Ba 3.15-3.44, 2 Sr 3.22

***

Entry 8:
A relaxed structure of Ba4Sr2Pd. Source: the Alexandria database, functional PBE-GGA.

Properties
Energy of formation (kJ/mol of formula units): -39
Density of states at the Fermi level (states/eV/cell): 8.7
E above lowest polymorph (meV per atom): 133

Unit cell a=11.5960 b=11.5960 c=11.5960 alpha=148.70 beta=148.70 gamma=44.85
Last column: nearest neighbours and their distance in Å.
Sites, in units of the cell vectors:
Ba 0.0000 0.5000 0.5000  2 Pd 3.13
Ba 0.1484 0.1484 0.0000  1 Pd 3.18
Ba 0.5000 0.0000 0.5000  2 Pd 3.13
Ba 0.8516 0.8516 0.0000  1 Pd 3.18
Sr 0.3472 0.3472 0.0000  9 Ba 4.26-4.53
Sr 0.6528 0.6528 0.0000  9 Ba 4.26-4.53
Pd 0.0000 0.0000 0.0000  6 Ba 3.13-3.18

***

Entry 9:
A relaxed structure of BaSrPd2. Source: the Alexandria database, functional PBE-GGA.

Properties
Energy of formation (kJ/mol of formula units): -185
Density of states at the Fermi level (states/eV/cell): 0.4
E above lowest polymorph (meV per atom): 84

Unit cell a=5.4213 b=5.4213 c=5.4213 alpha=60.00 beta=60.00 gamma=60.00
Last column: nearest neighbours and their distance in Å.
Sites, in units of the cell vectors:
Ba 0.0000 0.0000 0.0000  8 Pd 3.32
Sr 0.5000 0.5000 0.5000  8 Pd 3.32
Pd 0.2500 0.2500 0.2500  4 Ba 3.32, 4 Sr 3.32
Pd 0.7500 0.7500 0.7500  4 Ba 3.32, 4 Sr 3.32

***

Entry 10:
A relaxed structure of Ba2SrPd. Source: the Alexandria database, functional PBE-GGA.

Properties
Energy of formation (kJ/mol of formula units): -152
Density of states at the Fermi level (states/eV/cell): 2.2
E above lowest polymorph (meV per atom): 0

Unit cell a=7.8840 b=7.8840 c=7.8840 alpha=145.50 beta=58.40 gamma=134.42
Last column: nearest neighbours and their distance in Å.
Sites, in units of the cell vectors:
Ba 0.1564 0.0000 0.1564  2 Pd 3.18
Ba 0.8436 0.0000 0.8436  2 Pd 3.18
Sr 0.4980 0.9980 0.5000  2 Pd 3.05-3.06
Pd 0.9969 0.4969 0.5000  2 Sr 3.05-3.06, 4 Ba 3.18

***

Entry 11:
A relaxed structure of Ba2SrPd2. Source: the Alexandria database, functional PBE-GGA.

Properties
Energy of formation (kJ/mol of formula units): -125
Density of states at the Fermi level (states/eV/cell): 0.0
E above lowest polymorph (meV per atom): 201

Unit cell a=7.7197 b=7.7197 c=7.7197 alpha=141.80 beta=141.80 gamma=55.14
Last column: nearest neighbours and their distance in Å.
Sites, in units of the cell vectors:
Ba 0.2500 0.7500 0.5000  4 Pd 3.28, 4 Ba 3.57
Ba 0.7500 0.2500 0.5000  4 Pd 3.28, 4 Ba 3.57
Sr 0.0000 0.0000 0.0000  8 Pd 3.81, 8 Ba 4.25
Pd 0.4025 0.4025 0.0000  1 Pd 2.67
Pd 0.5975 0.5975 0.0000  1 Pd 2.67

***

Entry 12:
A relaxed structure of BaSrPd. Source: the Alexandria database, functional PBE-GGA.

Properties
Energy of formation (kJ/mol of formula units): -122
Density of states at the Fermi level (states/eV/cell): 1.0
E above lowest polymorph (meV per atom): 3

Unit cell a=4.5399 b=4.5399 c=7.2954 alpha=90.00 beta=90.00 gamma=120.00
Last column: nearest neighbours and their distance in Å.
Sites, in units of the cell vectors:
Ba 0.0000 0.0000 0.0000  3 Pd 3.17
Sr 0.3333 0.6667 0.4635  3 Pd 3.07
Pd 0.6667 0.3333 0.2434  3 Sr 3.07, 3 Ba 3.17

***

no.,size of the total moment (μB per cell)
1,0.00
2,0.00
3,0.00
4,0.00
5,0.00
6,0.00
7,0.00
8,0.00
9,0.00
10,0.00
11,0.00
12,0.00